Version a
Here is Sr2BTeRu after structural relaxation from the Alexandria database. Energies are from PBE-GGA. Values from VASP.

```
&SYSTEM
  ibrav = 0, nat = 5, ntyp = 4
/
ATOMIC_SPECIES
Sr 87.62 Sr.upf
B 10.81 B.upf
Te 127.60 Te.upf
Ru 101.07 Ru.upf
CELL_PARAMETERS angstrom
6.1388 0.0000 0.0000
0.0000 6.1388 0.0000
0.0000 0.0000 4.8232
ATOMIC_POSITIONS angstrom
Sr 0.0000 3.0694 0.0000
Sr 3.0694 0.0000 0.0000
B 0.0000 0.0000 2.4116
Te 3.0694 3.0694 0.0000
Ru 3.0694 3.0694 2.4116
```

Values from the calculation:
Spin magnetization: 0.0 μB/f.u.
V: 36.353 A^3/atom

=====

Version b
Here is Sr2BTeRu after structural relaxation from the Alexandria database. Energies are from PBE-GGA. Values from VASP.

```
&SYSTEM
  ibrav = 0, nat = 5, ntyp = 4
/
ATOMIC_SPECIES
Sr 87.62 Sr.upf
B 10.81 B.upf
Te 127.60 Te.upf
Ru 101.07 Ru.upf
CELL_PARAMETERS angstrom
5.6562 0.0000 0.0000
0.0000 5.6562 0.0000
0.0000 0.0000 4.0384
ATOMIC_POSITIONS angstrom
Sr 0.0000 2.8281 0.0000
Sr 2.8281 0.0000 0.0000
B 0.0000 0.0000 0.0000
Te 2.8281 2.8281 2.0192
Ru 0.0000 0.0000 2.0192
```

Values from the calculation:
Spin magnetization: 0.6 μB/f.u.
V: 25.840 A^3/atom

=====

Going by the energies, version b is most stable and the next is 1236 meV per atom up.

=====

Version a
Here is Ta2B2Ru after structural relaxation from the Alexandria database. Energies are from PBE-GGA. Values from VASP.

```
&SYSTEM
  ibrav = 0, nat = 10, ntyp = 3
/
ATOMIC_SPECIES
Ta 180.95 Ta.upf
B 10.81 B.upf
Ru 101.07 Ru.upf
CELL_PARAMETERS angstrom
5.8629 0.0000 0.0000
0.0000 5.8629 0.0000
0.0000 0.0000 3.4833
ATOMIC_POSITIONS angstrom
Ta 1.0333 1.8981 0.0000
Ta 1.8981 4.8296 0.0000
Ta 3.9648 1.0333 0.0000
Ta 4.8296 3.9648 0.0000
B 0.6717 3.6032 1.7417
B 2.2598 0.6717 1.7417
B 3.6032 5.1912 1.7417
B 5.1912 2.2598 1.7417
Ru 0.0000 0.0000 1.7417
Ru 2.9315 2.9315 1.7417
```

Values from the calculation:
Spin magnetization: 0.0 μB/f.u.
V: 11.974 A^3/atom

=====

Version b
Here is Ta2B2Ru after structural relaxation from the Alexandria database. Energies are from PBE-GGA. Values from VASP.

```
&SYSTEM
  ibrav = 0, nat = 5, ntyp = 3
/
ATOMIC_SPECIES
Ta 180.95 Ta.upf
B 10.81 B.upf
Ru 101.07 Ru.upf
CELL_PARAMETERS angstrom
-1.6649 2.4203 3.7363
1.6649 -2.4203 3.7363
1.6649 2.4203 -3.7363
ATOMIC_POSITIONS angstrom
Ta 0.0000 0.0000 1.5417
Ta 0.0000 0.0000 5.9309
B 1.6649 0.9062 0.0000
B 0.0000 1.5141 3.7363
Ru 0.0000 2.4203 0.0000
```

Values from the calculation:
Spin magnetization: 0.0 μB/f.u.
V: 12.044 A^3/atom

=====

Going by the energies, version a is most stable and the next is 44 meV per atom up.

=====

Version a
Here is TbB4Ru4 after structural relaxation from the Alexandria database. Energies are from PBE-GGA. Values from VASP.

```
&SYSTEM
  ibrav = 0, nat = 18, ntyp = 3
/
ATOMIC_SPECIES
Tb 158.93 Tb.upf
B 10.81 B.upf
Ru 101.07 Ru.upf
CELL_PARAMETERS angstrom
7.4586 0.0000 0.0000
0.0000 7.4586 0.0000
0.0000 0.0000 4.0477
ATOMIC_POSITIONS angstrom
Tb 1.8647 1.8647 1.0119
Tb 5.5940 5.5940 3.0358
B 0.3152 6.8447 0.5587
B 0.6140 4.0445 2.5825
B 3.1153 7.1434 2.5825
B 3.4141 4.3433 0.5587
B 4.0445 3.1153 3.4890
B 4.3433 0.3152 1.4652
B 6.8447 3.4141 1.4652
B 7.1434 0.6140 3.4890
Ru 0.7899 4.7718 0.5573
Ru 1.0425 6.6687 2.5811
Ru 2.6869 4.5192 2.5811
Ru 2.9394 6.4162 0.5573
Ru 4.5192 1.0425 3.4904
Ru 4.7718 2.9394 1.4666
Ru 6.4162 0.7899 1.4666
Ru 6.6687 2.6869 3.4904
```

Values from the calculation:
Spin magnetization: 0.0 μB/f.u.
V: 12.510 A^3/atom

=====

Version b
Here is TbB4Ru4 after structural relaxation from the Alexandria database. Energies are from PBE-GGA. Values from VASP.

```
&SYSTEM
  ibrav = 0, nat = 18, ntyp = 3
/
ATOMIC_SPECIES
Tb 158.93 Tb.upf
B 10.81 B.upf
Ru 101.07 Ru.upf
CELL_PARAMETERS angstrom
5.3738 0.0000 0.0000
0.0000 5.3738 0.0000
0.0000 0.0000 7.3643
ATOMIC_POSITIONS angstrom
Tb 1.3435 4.0304 1.8411
Tb 4.0304 1.3435 5.5232
B 0.4196 1.3435 0.7313
B 1.3435 0.4196 4.4135
B 1.3435 2.2673 4.4135
B 2.2673 1.3435 0.7313
B 3.1065 4.0304 6.6330
B 4.0304 3.1065 2.9508
B 4.0304 4.9543 2.9508
B 4.9543 4.0304 6.6330
Ru 0.0270 4.0304 4.5009
Ru 1.3435 2.7139 6.5455
Ru 1.3435 5.3469 6.5455
Ru 2.6599 4.0304 4.5009
Ru 2.7139 1.3435 2.8634
Ru 4.0304 0.0270 0.8188
Ru 4.0304 2.6599 0.8188
Ru 5.3469 1.3435 2.8634
```

Values from the calculation:
Spin magnetization: 0.0 μB/f.u.
V: 11.815 A^3/atom

=====

Going by the energies, version a is most stable and the next is 26 meV per atom up.

=====

Version a
Here is TbB2Ru3 after structural relaxation from the Alexandria database. Energies are from PBE-GGA. Values from VASP.

```
&SYSTEM
  ibrav = 0, nat = 18, ntyp = 3
/
ATOMIC_SPECIES
Tb 158.93 Tb.upf
B 10.81 B.upf
Ru 101.07 Ru.upf
CELL_PARAMETERS angstrom
8.8350 0.0000 0.0000
-4.4175 7.6513 0.0000
0.0000 0.0000 3.5840
ATOMIC_POSITIONS angstrom
Tb 0.0000 0.0000 0.0000
Tb 0.0000 5.1009 1.7920
Tb 4.4175 2.5504 1.7920
B 0.0000 2.9416 0.0000
B -1.8700 6.1805 0.0000
B 2.5475 1.4708 0.0000
B 1.8700 6.1805 0.0000
B 6.2875 1.4708 0.0000
B 4.4175 4.7097 0.0000
Ru -1.2545 2.1728 1.7920
Ru -2.2087 3.8256 0.0000
Ru -3.1630 5.4785 1.7920
Ru 2.5090 0.0000 1.7920
Ru 1.2545 2.1728 1.7920
Ru 4.4175 0.0000 0.0000
Ru 2.2087 3.8256 0.0000
Ru 6.3260 0.0000 1.7920
Ru 3.1630 5.4785 1.7920
```

Values from the calculation:
Spin magnetization: 0.0 μB/f.u.
V: 13.460 A^3/atom

=====

Version b
Here is TbB2Ru3 after structural relaxation from the Alexandria database. Energies are from PBE-GGA. Values from VASP.

```
&SYSTEM
  ibrav = 0, nat = 6, ntyp = 3
/
ATOMIC_SPECIES
Tb 158.93 Tb.upf
B 10.81 B.upf
Ru 101.07 Ru.upf
CELL_PARAMETERS angstrom
5.5287 0.0000 0.0000
-2.7643 4.7880 0.0000
0.0000 0.0000 3.0250
ATOMIC_POSITIONS angstrom
Tb 0.0000 0.0000 0.0000
B 0.0000 3.1920 0.0000
B 2.7643 1.5960 0.0000
Ru -1.3822 2.3940 1.5125
Ru 2.7643 0.0000 1.5125
Ru 1.3822 2.3940 1.5125
```

Values from the calculation:
Spin magnetization: 0.0 μB/f.u.
V: 13.346 A^3/atom

=====

Going by the energies, version b is most stable and the next is 221 meV per atom up.